A geometry-optimized Li2PPt structure, computed with PBE-GGA.

Properties
total DFT energy (no corrections): -4.385 eV/atom
crystal system: monoclinic
energy of formation from the pure elements: -0.565 eV/atom

abc: 2.8539 4.2559 4.9674
angles: 90.00 105.49 90.00
Space group Pm (No. 6)
One atom of each set of equivalent atoms:
Li 0.0000 0.0000 0.0000
Li 0.3322 0.5000 0.7013
P 0.6193 0.5000 0.2530
Pt 0.7122 0.0000 0.4567

---

A geometry-optimized La2Pm3NdTe6 structure, computed with PBE-GGA.

Properties
total DFT energy (no corrections): -5.453 eV/atom
raw formation energy: -1.476 eV/atom
crystal system: monoclinic

abc: 19.6367 4.4999 9.0500
angles: 90.00 103.20 90.00
Space group C2/m (No. 12)
One atom of each set of equivalent atoms:
La 0.1655 0.0000 0.3310
Pm 0.0000 0.5000 0.5000
Pm 0.1670 0.0000 0.8335
Nd 0.0000 0.5000 0.0000
Te 0.0023 0.0000 0.7494
Te 0.1654 0.5000 0.5868
Te 0.1669 0.5000 0.0778

---

A geometry-optimized Si2AgAs structure, computed with PBE-GGA.

Properties
total DFT energy (no corrections): -4.123 eV/atom
raw formation energy: 0.463 eV/atom
crystal system: orthorhombic

abc: 2.8635 4.7370 10.2799
angles: 90.00 90.00 90.00
Space group Immm (No. 71)
One atom of each set of equivalent atoms:
Si 0.0000 0.0000 0.2379
Ag 0.0000 0.5000 0.0000
As 0.0000 0.5000 0.5000

---

A geometry-optimized VGa2SiS structure, computed with PBE-GGA.

Properties
total DFT energy (no corrections): -4.253 eV/atom
raw formation energy: 0.692 eV/atom
crystal system: tetragonal

abc: 4.9399 4.9399 4.6769
angles: 90.00 90.00 90.00
Space group P4/mmm (No. 123)
One atom of each set of equivalent atoms:
V 0.0000 0.0000 0.0000
Ga 0.0000 0.5000 0.0000
Si 0.0000 0.0000 0.5000
S 0.5000 0.5000 0.5000

---

A geometry-optimized CdInW structure, computed with PBE-GGA.

Properties
total DFT energy (no corrections): -4.919 eV/atom
crystal system: orthorhombic
energy of formation from the pure elements: 0.616 eV/atom
polymorph energy (0 for the lowest one): 0.360 eV/atom

abc: 3.4913 4.6649 14.6460
angles: 90.00 90.00 90.00
Space group Fmm2 (No. 42)
One atom of each set of equivalent atoms:
Cd 0.0000 0.0000 0.0000
In 0.0000 0.0000 0.3155
W 0.0000 0.0000 0.6582

---

A geometry-optimized Mn2PdBr6 structure, computed with PBE-GGA.

Properties
total DFT energy (no corrections): -4.301 eV/atom
raw formation energy: -0.571 eV/atom
crystal system: monoclinic

abc: 6.8144 11.4931 6.7504
angles: 90.00 110.89 90.00
Space group C2/m (No. 12)
One atom of each set of equivalent atoms:
Mn 0.0000 0.1685 0.0000
Pd 0.0000 0.0000 0.5000
Br 0.2253 0.0000 0.2575
Br 0.2319 0.1711 0.7675

---

A geometry-optimized YTe2 structure, computed with PBE-GGA.

Properties
total DFT energy (no corrections): -5.346 eV/atom
raw formation energy: -1.096 eV/atom
crystal system: orthorhombic

abc: 4.4148 15.7772 6.0165
angles: 90.00 90.00 90.00
Space group Cmcm (No. 63)
One atom of each set of equivalent atoms:
Y 0.0000 0.1704 0.2500
Te 0.0000 0.1903 0.7500
Te 0.0000 0.4724 0.7500

---

A geometry-optimized CePr3Bi4 structure, computed with PBE-GGA.

Properties
total DFT energy (no corrections): -5.395 eV/atom
crystal system: orthorhombic
energy of formation from the pure elements: -0.920 eV/atom

abc: 9.2718 13.0913 4.6275
angles: 90.00 90.00 90.00
Space group Cmmm (No. 65)
One atom of each set of equivalent atoms:
Ce 0.0000 0.0000 0.0000
Pr 0.0000 0.5000 0.0000
Pr 0.2500 0.2500 0.5000
Bi 0.0000 0.2481 0.0000
Bi 0.2469 0.0000 0.5000

---

| no. | total magnetic moment (μB/f.u.) |
| --- | --- |
| 1 | 0.00 |
| 2 | 0.00 |
| 3 | 0.00 |
| 4 | 3.74 |
| 5 | 0.00 |
| 6 | 8.01 |
| 7 | 0.00 |
| 8 | 0.80 |